This record from Alexandria describes a relaxed structure of Zn2RePb. The functional is PBE.

Lattice parameters (Å, degrees): 5.6546 8.2268 3.0051 90.00 90.00 90.00
Space group Cmmm (No. 65)
Asymmetric unit:
Zn1 0.2500 0.2500 0.0000 [4 per cell]
Re1 0.0000 0.0000 0.5000 [2 per cell]
Pb1 0.0000 0.5000 0.5000 [2 per cell]

## Properties
magnetization: 0.00 μB per formula unit
crystal system: orthorhombic
D(E_F): 2.793 states/eV/f.u.
energy of formation from the pure elements: 0.649 eV per atom


This record from Alexandria describes a relaxed structure of CeSm6Dy3. The functional is PBE.

Lattice parameters (Å, degrees): 5.5806 10.0807 12.3336 90.00 102.10 90.00
Space group P2_1/c (No. 14)
Asymmetric unit:
Ce1 0.0000 0.0000 0.0000 [2 per cell]
Sm1 0.0016 0.1830 0.5004 [4 per cell]
Sm2 0.1169 0.0009 0.2648 [4 per cell]
Sm3 0.4178 0.1693 0.8562 [4 per cell]
Dy1 0.4176 0.6680 0.3624 [4 per cell]
Dy2 0.5000 0.0000 0.5000 [2 per cell]

## Properties
magnetization: 0.73 μB per formula unit
crystal system: monoclinic
D(E_F): 17.890 states/eV/f.u.
energy of formation from the pure elements: 0.227 eV per atom


This record from Alexandria describes a relaxed structure of RbTaFeGeTe. The functional is PBE.

Lattice parameters (Å, degrees): 3.8220 3.1709 9.5357 90.00 100.76 90.00
Space group Pm (No. 6)
Asymmetric unit:
Rb1 0.0000 0.0000 0.0000 [1 per cell]
Ta1 0.8170 0.0000 0.5751 [1 per cell]
Fe1 0.2168 0.5000 0.4748 [1 per cell]
Ge1 0.3767 0.5000 0.7307 [1 per cell]
Te1 0.6367 0.5000 0.2926 [1 per cell]

## Properties
magnetization: 0.00 μB per formula unit
raw formation energy: -0.0512 eV per atom
crystal system: monoclinic
D(E_F): 1.681 states/eV/f.u.
offset from the most stable computed form: 240 meV per atom


This record from Alexandria describes a relaxed structure of AcZnNiBi. The functional is PBE.

Lattice parameters (Å, degrees): 7.2493 7.2493 7.2493 90.00 90.00 90.00
Space group F-43m (No. 216)
Asymmetric unit:
Ac1 0.0000 0.0000 0.0000 [4 per cell]
Zn1 0.2500 0.2500 0.7500 [4 per cell]
Ni1 0.2500 0.2500 0.2500 [4 per cell]
Bi1 0.0000 0.0000 0.5000 [4 per cell]

## Properties
magnetization: 0.00 μB per formula unit
crystal system: cubic
D(E_F): 1.263 states/eV/f.u.
energy of formation from the pure elements: -0.198 eV per atom


This record from Alexandria describes a relaxed structure of CuNiCl3. The functional is PBE.

Lattice parameters (Å, degrees): 6.2643 6.8848 11.8490 90.00 120.36 90.00
Space group P2_1/c (No. 14)
Asymmetric unit:
Cu1 0.0360 0.0349 0.1415 [4 per cell]
Ni1 0.4467 0.2485 0.0031 [4 per cell]
Cl1 0.0734 0.2460 0.0033 [4 per cell]
Cl2 0.3165 0.5132 0.3447 [4 per cell]
Cl3 0.3743 0.0147 0.3472 [4 per cell]

## Properties
magnetization: 2.03 μB per formula unit
raw formation energy: -0.4700 eV per atom
crystal system: monoclinic
D(E_F): 1.601 states/eV/f.u.
offset from the most stable computed form: 0 meV per atom


This record from Alexandria describes a relaxed structure of CaZrCo2. The functional is PBE.

Lattice parameters (Å, degrees): 7.0001 7.0001 6.0365 90.00 90.00 90.00
Space group I-42d (No. 122)
Asymmetric unit:
Ca1 0.0000 0.0000 0.0000 [4 per cell]
Zr1 0.0000 0.0000 0.5000 [4 per cell]
Co1 0.2227 0.7500 0.6250 [8 per cell]

## Properties
magnetization: 0.00 μB per formula unit
crystal system: tetragonal
D(E_F): 1.723 states/eV/f.u.
energy of formation from the pure elements: 0.434 eV per atom


This record from Alexandria describes a relaxed structure of CuRhNO2. The functional is PBE.

Lattice parameters (Å, degrees): 3.7362 3.7362 3.7287 90.00 90.00 90.00
Space group P4/mmm (No. 123)
Asymmetric unit:
Cu1 0.0000 0.0000 0.0000 [1 per cell]
Rh1 0.5000 0.5000 0.5000 [1 per cell]
N1 0.0000 0.0000 0.5000 [1 per cell]
O1 0.0000 0.5000 0.0000 [2 per cell]

## Properties
magnetization: 0.79 μB per formula unit
raw formation energy: 0.9691 eV per atom
crystal system: tetragonal
D(E_F): 5.934 states/eV/f.u.


This record from Alexandria describes a relaxed structure of TaRu2. The functional is PBE.

Lattice parameters (Å, degrees): 2.7915 2.7915 6.8485 90.00 90.00 120.00
Space group P-3m1 (No. 164)
Asymmetric unit:
Ta1 0.0000 0.0000 0.0000 [1 per cell]
Ru1 0.3333 0.6667 0.6565 [2 per cell]

## Properties
magnetization: 0.00 μB per formula unit
crystal system: trigonal
D(E_F): 3.355 states/eV/f.u.
energy of formation from the pure elements: 0.088 eV per atom


This record from Alexandria describes a relaxed structure of UTaV4. The functional is PBE.

Lattice parameters (Å, degrees): 7.2433 7.2433 7.2433 90.00 90.00 90.00
Space group F-43m (No. 216)
Asymmetric unit:
U1 0.0000 0.0000 0.0000 [4 per cell]
Ta1 0.2500 0.2500 0.7500 [4 per cell]
V1 0.1258 0.1258 0.3742 [16 per cell]

## Properties
magnetization: 0.00 μB per formula unit
crystal system: cubic
D(E_F): 8.759 states/eV/f.u.
energy of formation from the pure elements: 0.153 eV per atom


This record from Alexandria describes a relaxed structure of ErInHg4. The functional is PBE.

Lattice parameters (Å, degrees): 5.6546 5.4949 9.7828 90.00 95.59 90.00
Space group C2/m (No. 12)
Asymmetric unit:
Er1 0.0000 0.0000 0.0000 [2 per cell]
In1 0.0000 0.5000 0.5000 [2 per cell]
Hg1 0.0082 0.0000 0.3304 [4 per cell]
Hg2 0.0100 0.5000 0.1652 [4 per cell]

## Properties
magnetization: 0.00 μB per formula unit
crystal system: monoclinic
D(E_F): 3.009 states/eV/f.u.
energy of formation from the pure elements: -0.160 eV per atom
offset from the most stable computed form: 0 meV per atom


This record from Alexandria describes a relaxed structure of CaSn2Hg2. The functional is PBE.

Lattice parameters (Å, degrees): 4.6867 4.6867 12.9576 90.00 90.00 90.00
Space group I4/mmm (No. 139)
Asymmetric unit:
Ca1 0.0000 0.0000 0.0000 [2 per cell]
Sn1 0.0000 0.5000 0.2500 [4 per cell]
Hg1 0.0000 0.0000 0.3941 [4 per cell]

## Properties
magnetization: 0.00 μB per formula unit
crystal system: tetragonal
D(E_F): 1.471 states/eV/f.u.
energy of formation from the pure elements: -0.200 eV per atom


This record from Alexandria describes a relaxed structure of TaTcHg2. The functional is PBE.

Lattice parameters (Å, degrees): 3.5592 3.5592 5.8000 90.00 90.00 90.00
Space group P4/mmm (No. 123)
Asymmetric unit:
Ta1 0.0000 0.0000 0.0000 [1 per cell]
Tc1 0.0000 0.0000 0.5000 [1 per cell]
Hg1 0.5000 0.5000 0.2554 [2 per cell]

## Properties
magnetization: 0.00 μB per formula unit
crystal system: tetragonal
D(E_F): 3.652 states/eV/f.u.
energy of formation from the pure elements: 0.654 eV per atom
offset from the most stable computed form: 427 meV per atom